No. 1
VASP calculation (PBE) on a relaxed structure of CdSi2Ag.

Cell: 5.043 5.043 5.043 Å, 130.18 130.18 73.12°
Positions (direct):
Cd  0.000  0.000  0.000
Si  0.250  0.750  0.500
Si  0.500  0.500  0.000
Ag  0.750  0.250  0.500

Values from the calculation:
* ΔE_f (raw): 450 meV/atom
* crystal system: tetragonal
* density of states at the Fermi level: 1.43 states/eV per cell

***

No. 2
VASP calculation (PBE) on a relaxed structure of Cd2Si2Ag.

Cell: 6.634 6.634 4.523 Å, 90.00 90.00 90.00°
Positions (direct):
Cd  0.191  0.309  0.000
Cd  0.309  0.809  0.000
Cd  0.691  0.191  0.000
Cd  0.809  0.691  0.000
Si  0.128  0.628  0.500
Si  0.372  0.128  0.500
Si  0.628  0.872  0.500
Si  0.872  0.372  0.500
Ag  0.000  0.000  0.500
Ag  0.500  0.500  0.500

Values from the calculation:
* ΔE_f (raw): 291 meV/atom
* crystal system: tetragonal
* density of states at the Fermi level: 4.26 states/eV per cell

***

No. 3
VASP calculation (PBE) on a relaxed structure of CdSiAg4.

Cell: 5.490 5.490 5.490 Å, 60.00 60.00 60.00°
Positions (direct):
Cd  0.000  0.000  0.000
Si  0.750  0.750  0.750
Ag  0.375  0.375  0.375
Ag  0.375  0.375  0.875
Ag  0.375  0.875  0.375
Ag  0.875  0.375  0.375

Values from the calculation:
* ΔE_f (raw): 299 meV/atom
* crystal system: cubic
* density of states at the Fermi level: 1.68 states/eV per cell

***

No. 4
VASP calculation (PBE) on a relaxed structure of CdSiAg.

Cell: 5.474 5.474 5.474 Å, 149.33 137.17 53.60°
Positions (direct):
Cd  0.000  0.000  0.000
Si  0.319  0.319  0.000
Ag  0.681  0.681  0.000

Values from the calculation:
* ΔE_f (raw): 298 meV/atom
* crystal system: orthorhombic
* density of states at the Fermi level: 1.45 states/eV per cell